Computed, not measured: an optimized crystal structure of Re2NiCl at the GGA-PBE level of DFT.

Properties
Calculated density = 13.925 g/cm³
Excess energy over the best structure of this formula in the dataset = 550 meV/atom

CIF file:
```
data_Re2NiCl
_chemical_formula_sum 'Re4 Ni2 Cl2'
_cell_length_a 2.834
_cell_length_b 4.433
_cell_length_c 8.856
_cell_angle_alpha 90.00
_cell_angle_beta 90.00
_cell_angle_gamma 90.00
_space_group_name_H-M_alt 'I m m 2'
_space_group_IT_number 44
loop_
_space_group_symop_operation_xyz
'x,y,z'
'-x,-y,z'
'-x,y,z'
'x,-y,z'
'x+1/2,y+1/2,z+1/2'
'-x+1/2,-y+1/2,z+1/2'
'-x+1/2,y+1/2,z+1/2'
'x+1/2,-y+1/2,z+1/2'
loop_
_atom_site_label
_atom_site_type_symbol
_atom_site_fract_x
_atom_site_fract_y
_atom_site_fract_z
Re1 Re 0.000 0.000 0.000
Re2 Re 0.000 0.500 0.244
Ni1 Ni 0.000 0.000 0.479
Cl1 Cl 0.000 0.500 0.731
```

Computed, not measured: an optimized crystal structure of Re2NiCl at the GGA-PBE level of DFT.

Properties
Calculated density = 13.048 g/cm³
Excess energy over the best structure of this formula in the dataset = 482 meV/atom

CIF file:
```
data_Re2NiCl
_chemical_formula_sum 'Re4 Ni2 Cl2'
_cell_length_a 8.293
_cell_length_b 2.817
_cell_length_c 5.220
_cell_angle_alpha 90.00
_cell_angle_beta 103.11
_cell_angle_gamma 90.00
_space_group_name_H-M_alt 'C 1 2/m 1'
_space_group_IT_number 12
loop_
_space_group_symop_operation_xyz
'x,y,z'
'-x,-y,-z'
'-x,y,-z'
'x,-y,z'
'x+1/2,y+1/2,z'
'-x+1/2,-y+1/2,-z'
'-x+1/2,y+1/2,-z'
'x+1/2,-y+1/2,z'
loop_
_atom_site_label
_atom_site_type_symbol
_atom_site_fract_x
_atom_site_fract_y
_atom_site_fract_z
Re1 Re 0.249 0.000 0.291
Ni1 Ni 0.000 0.000 0.500
Cl1 Cl 0.000 0.500 0.000
```

Computed, not measured: an optimized crystal structure of ReNi2Cl at the GGA-PBE level of DFT.

Properties
Calculated density = 10.929 g/cm³
Excess energy over the best structure of this formula in the dataset = 644 meV/atom

CIF file:
```
data_ReNi2Cl
_chemical_formula_sum 'Re2 Ni4 Cl2'
_cell_length_a 4.179
_cell_length_b 4.179
_cell_length_c 5.900
_cell_angle_alpha 90.00
_cell_angle_beta 90.00
_cell_angle_gamma 90.00
_space_group_name_H-M_alt 'I -4 m 2'
_space_group_IT_number 119
_space_group_name_Hall 'I -4 -2'
loop_
_atom_site_label
_atom_site_type_symbol
_atom_site_fract_x
_atom_site_fract_y
_atom_site_fract_z
Re1 Re 0.000 0.000 0.000
Ni1 Ni 0.000 0.000 0.500
Ni2 Ni 0.000 0.500 0.750
Cl1 Cl 0.000 0.500 0.250
```

Computed, not measured: an optimized crystal structure of ReNiCl at the GGA-PBE level of DFT.

Properties
Calculated density = 8.856 g/cm³
Excess energy over the best structure of this formula in the dataset = 127 meV/atom

CIF file:
```
data_ReNiCl
_chemical_formula_sum 'Re2 Ni2 Cl2'
_cell_length_a 2.850
_cell_length_b 2.850
_cell_length_c 12.948
_cell_angle_alpha 90.00
_cell_angle_beta 90.00
_cell_angle_gamma 90.00
_space_group_name_H-M_alt 'I 4 m m'
_space_group_IT_number 107
_space_group_name_Hall 'I 4 -2'
loop_
_atom_site_label
_atom_site_type_symbol
_atom_site_fract_x
_atom_site_fract_y
_atom_site_fract_z
Re1 Re 0.000 0.000 0.000
Ni1 Ni 0.000 0.000 0.611
Cl1 Cl 0.000 0.000 0.364
```

Computed, not measured: an optimized crystal structure of ReNiCl at the GGA-PBE level of DFT.

Properties
Calculated density = 10.884 g/cm³
Excess energy over the best structure of this formula in the dataset = 1042 meV/atom

CIF file:
```
data_ReNiCl
_chemical_formula_sum 'Re4 Ni4 Cl4'
_cell_length_a 5.551
_cell_length_b 5.551
_cell_length_c 5.551
_cell_angle_alpha 90.00
_cell_angle_beta 90.00
_cell_angle_gamma 90.00
_space_group_name_H-M_alt 'F -4 3 m'
_space_group_IT_number 216
_space_group_name_Hall 'F -4 2 3'
loop_
_atom_site_label
_atom_site_type_symbol
_atom_site_fract_x
_atom_site_fract_y
_atom_site_fract_z
Re1 Re 0.000 0.000 0.000
Ni1 Ni 0.000 0.000 0.500
Cl1 Cl 0.250 0.250 0.750
```

Computed, not measured: an optimized crystal structure of Re2NiCl at the GGA-PBE level of DFT.

Properties
Calculated density = 12.039 g/cm³
Excess energy over the best structure of this formula in the dataset = 751 meV/atom

CIF file:
```
data_Re2NiCl
_chemical_formula_sum 'Re8 Ni4 Cl4'
_cell_length_a 3.706
_cell_length_b 3.706
_cell_length_c 18.740
_cell_angle_alpha 90.00
_cell_angle_beta 90.00
_cell_angle_gamma 90.00
_space_group_name_H-M_alt 'I -4 2 d'
_space_group_IT_number 122
_space_group_name_Hall 'I -4 2bw'
loop_
_atom_site_label
_atom_site_type_symbol
_atom_site_fract_x
_atom_site_fract_y
_atom_site_fract_z
Re1 Re 0.205 0.250 0.125
Ni1 Ni 0.000 0.000 0.000
Cl1 Cl 0.000 0.000 0.500
```

Computed, not measured: an optimized crystal structure of Re2NiCl at the GGA-PBE level of DFT.

Properties
Calculated density = 11.931 g/cm³
Excess energy over the best structure of this formula in the dataset = 129 meV/atom

CIF file:
```
data_Re2NiCl
_chemical_formula_sum 'Re2 Ni1 Cl1'
_cell_length_a 2.843
_cell_length_b 2.843
_cell_length_c 8.034
_cell_angle_alpha 90.00
_cell_angle_beta 90.00
_cell_angle_gamma 90.00
_space_group_name_H-M_alt 'P 4 m m'
_space_group_IT_number 99
loop_
_space_group_symop_operation_xyz
'x,y,z'
'-y,x,z'
'-x,-y,z'
'y,-x,z'
'-x,y,z'
'y,x,z'
'x,-y,z'
'-y,-x,z'
loop_
_atom_site_label
_atom_site_type_symbol
_atom_site_fract_x
_atom_site_fract_y
_atom_site_fract_z
Re1 Re 0.000 0.000 0.000
Re2 Re 0.500 0.500 0.216
Ni1 Ni 0.500 0.500 0.788
Cl1 Cl 0.000 0.000 0.437
```

Computed, not measured: an optimized crystal structure of ReNi2Cl at the GGA-PBE level of DFT.

Properties
Calculated density = 10.440 g/cm³
Excess energy over the best structure of this formula in the dataset = 58 meV/atom

CIF file:
```
data_ReNi2Cl
_chemical_formula_sum 'Re3 Ni6 Cl3'
_cell_length_a 2.8361
_cell_length_b 2.8361
_cell_length_c 23.2266
_cell_angle_alpha 90.00
_cell_angle_beta 90.00
_cell_angle_gamma 120.00
_space_group_name_H-M_alt 'R -3 m'
_space_group_IT_number 166
_space_group_name_Hall '-R 3 2"'
loop_
_atom_site_label
_atom_site_type_symbol
_atom_site_fract_x
_atom_site_fract_y
_atom_site_fract_z
Re1 Re 0.0000 0.0000 0.0000
Ni1 Ni 0.0000 0.0000 0.2482
Cl1 Cl 0.0000 0.0000 0.5000
```

Computed, not measured: an optimized crystal structure of ReNi2Cl at the GGA-PBE level of DFT.

Properties
Calculated density = 10.486 g/cm³
Excess energy over the best structure of this formula in the dataset = 866 meV/atom

CIF file:
```
data_ReNi2Cl
_chemical_formula_sum 'Re2 Ni4 Cl2'
_cell_length_a 3.787
_cell_length_b 3.787
_cell_length_c 7.488
_cell_angle_alpha 90.00
_cell_angle_beta 90.00
_cell_angle_gamma 90.00
_space_group_name_H-M_alt 'I 4/m m m'
_space_group_IT_number 139
_space_group_name_Hall '-I 4 2'
loop_
_atom_site_label
_atom_site_type_symbol
_atom_site_fract_x
_atom_site_fract_y
_atom_site_fract_z
Re1 Re 0.000 0.000 0.000
Ni1 Ni 0.000 0.500 0.250
Cl1 Cl 0.000 0.000 0.500
```

Computed, not measured: an optimized crystal structure of Re2NiCl at the GGA-PBE level of DFT.

Properties
Calculated density = 14.363 g/cm³
Excess energy over the best structure of this formula in the dataset = 694 meV/atom

CIF file:
```
data_Re2NiCl
_chemical_formula_sum 'Re8 Ni4 Cl4'
_cell_length_a 5.998
_cell_length_b 5.998
_cell_length_c 5.998
_cell_angle_alpha 90.00
_cell_angle_beta 90.00
_cell_angle_gamma 90.00
_space_group_name_H-M_alt 'F m -3 m'
_space_group_IT_number 225
_space_group_name_Hall '-F 4 2 3'
loop_
_atom_site_label
_atom_site_type_symbol
_atom_site_fract_x
_atom_site_fract_y
_atom_site_fract_z
Re1 Re 0.250 0.250 0.250
Ni1 Ni 0.000 0.000 0.000
Cl1 Cl 0.000 0.000 0.500
```

Computed, not measured: an optimized crystal structure of Re2NiCl at the GGA-PBE level of DFT.

Properties
Calculated density = 13.164 g/cm³
Excess energy over the best structure of this formula in the dataset = 675 meV/atom

CIF file:
```
data_Re2NiCl
_chemical_formula_sum 'Re2 Ni1 Cl1'
_cell_length_a 2.747
_cell_length_b 4.557
_cell_length_c 4.701
_cell_angle_alpha 90.00
_cell_angle_beta 90.00
_cell_angle_gamma 90.00
_space_group_name_H-M_alt 'P m m m'
_space_group_IT_number 47
loop_
_space_group_symop_operation_xyz
'x,y,z'
'-x,-y,-z'
'-x,-y,z'
'x,y,-z'
'x,-y,-z'
'-x,y,z'
'-x,y,-z'
'x,-y,z'
loop_
_atom_site_label
_atom_site_type_symbol
_atom_site_fract_x
_atom_site_fract_y
_atom_site_fract_z
Re1 Re 0.000 0.000 0.000
Re2 Re 0.500 0.000 0.500
Ni1 Ni 0.000 0.500 0.500
Cl1 Cl 0.500 0.500 0.000
```

Computed, not measured: an optimized crystal structure of ReNi4Cl at the GGA-PBE level of DFT.

Properties
Calculated density = 9.940 g/cm³
Calculated total energy = -5.523 eV/atom

CIF file:
```
data_ReNi4Cl
_chemical_formula_sum 'Re4 Ni16 Cl4'
_cell_length_a 6.731
_cell_length_b 6.731
_cell_length_c 6.731
_cell_angle_alpha 90.00
_cell_angle_beta 90.00
_cell_angle_gamma 90.00
_space_group_name_H-M_alt 'F -4 3 m'
_space_group_IT_number 216
_space_group_name_Hall 'F -4 2 3'
loop_
_atom_site_label
_atom_site_type_symbol
_atom_site_fract_x
_atom_site_fract_y
_atom_site_fract_z
Re1 Re 0.000 0.000 0.000
Ni1 Ni 0.125 0.125 0.375
Cl1 Cl 0.250 0.250 0.750
```

- Which of these has the highest calculated density?
  number 10

Please write out number 1 again, unchanged.
Computed, not measured: an optimized crystal structure of Re2NiCl at the GGA-PBE level of DFT.

Properties
Calculated density = 13.925 g/cm³
Excess energy over the best structure of this formula in the dataset = 550 meV/atom

CIF file:
```
data_Re2NiCl
_chemical_formula_sum 'Re4 Ni2 Cl2'
_cell_length_a 2.834
_cell_length_b 4.433
_cell_length_c 8.856
_cell_angle_alpha 90.00
_cell_angle_beta 90.00
_cell_angle_gamma 90.00
_space_group_name_H-M_alt 'I m m 2'
_space_group_IT_number 44
loop_
_space_group_symop_operation_xyz
'x,y,z'
'-x,-y,z'
'-x,y,z'
'x,-y,z'
'x+1/2,y+1/2,z+1/2'
'-x+1/2,-y+1/2,z+1/2'
'-x+1/2,y+1/2,z+1/2'
'x+1/2,-y+1/2,z+1/2'
loop_
_atom_site_label
_atom_site_type_symbol
_atom_site_fract_x
_atom_site_fract_y
_atom_site_fract_z
Re1 Re 0.000 0.000 0.000
Re2 Re 0.000 0.500 0.244
Ni1 Ni 0.000 0.000 0.479
Cl1 Cl 0.000 0.500 0.731
```

- Among the records above, which one has the lowest calculated density?
  number 4

- What is the formula in the seventh record?
  Re2NiCl